Entry from Alexandria via LeMat-Bulk: KCrI2 after structural relaxation (PBE-GGA).

Cell lengths 7.4244, 7.4244, 7.4244 Å; angles 111.41, 111.41, 105.66 degrees
Closest atoms and distances in Å follow each position.
Sites, in units of the cell vectors:
K  0.0000  0.0000  0.0000  4 I 3.56
K  0.7500  0.2500  0.5000  4 I 3.56
Cr  0.2500  0.7500  0.5000  4 I 2.82
Cr  0.5000  0.5000  0.0000  4 I 2.82
I  0.1923  0.1250  0.5673  2 Cr 2.82
I  0.3750  0.8077  0.9327  2 Cr 2.82
I  0.5577  0.6250  0.4327  2 Cr 2.82
I  0.8750  0.4423  0.0673  2 Cr 2.82

## Properties
The formation energy (no corrections) is -0.54 eV per atom. The total magnetization is 1.250 μB per atom. The calculation puts the theoretical density at 3.65 Mg/m³. The energy above the most stable polymorph in this dataset is 0 meV/atom. The space group is No. 122.